Below is a relaxed structure of Ba2NbRh2, with properties calculated at the PBE-GGA level.

Its space-group type is P4/mbm (127). For the energy above the most stable polymorph in this dataset, the calculation gives 0.000 eV/f.u. For the final energy, the calculation gives -55.826 eV per cell.

a b c (Å): 6.820 6.820 5.501
angles (deg): 90.00 90.00 90.00
Fractional coordinates of all 10 atoms:
Nb 0.000 0.000 0.000
Nb 0.500 0.500 0.000
Rh 0.363 0.863 0.000
Rh 0.863 0.637 0.000
Rh 0.637 0.137 0.000
Rh 0.137 0.363 0.000
Ba 0.178 0.678 0.500
Ba 0.678 0.822 0.500
Ba 0.822 0.322 0.500
Ba 0.322 0.178 0.500